Here is La2TbPa after structural relaxation from Alexandria. Energies are from GGA-PBE.

a b c (Å): 4.978 5.022 5.022
angles (deg): 90.00 90.00 90.00
Atoms (fractional coordinates):
La 0.000 0.000 0.500
La 0.000 0.500 0.000
Pa 0.500 0.500 0.500
Tb 0.500 0.000 0.000

Summary:
**Total magnetic moment**: 0.0 μB/f.u.
**Energy above the most stable polymorph in this dataset**: 45 kJ/mol of formula units
**Energy relative to the elements**: 0.262 eV/atom

***

Here is LiLaEu2 after structural relaxation from Alexandria. Energies are from GGA-PBE.

a b c (Å): 4.009 6.000 6.000
angles (deg): 90.00 90.00 90.00
Atoms (fractional coordinates):
Eu 0.000 0.000 0.500
Eu 0.000 0.500 0.000
La 0.500 0.000 0.000
Li 0.500 0.500 0.500

Summary:
**Total magnetic moment**: 14.8 μB/f.u.
**Energy above the most stable polymorph in this dataset**: 22 kJ/mol of formula units
**Energy relative to the elements**: 0.133 eV/atom

***

Here is Y3Zn4Hg4 after structural relaxation from Alexandria. Energies are from GGA-PBE.

a b c (Å): 3.597 4.664 14.653
angles (deg): 80.91 82.96 90.02
Atoms (fractional coordinates):
Hg 0.552 0.551 0.899
Hg 0.686 0.188 0.626
Hg 0.314 0.812 0.374
Hg 0.448 0.449 0.101
Zn 0.261 0.261 0.477
Zn 0.406 0.905 0.188
Zn 0.594 0.095 0.812
Zn 0.739 0.739 0.523
Y 0.000 0.000 0.000
Y 0.856 0.355 0.288
Y 0.144 0.645 0.712

Summary:
**Total magnetic moment**: 0.0 μB/f.u.
**Energy relative to the elements**: -0.337 eV/atom

***

Here is LiPuHgRh after structural relaxation from Alexandria. Energies are from GGA-PBE.

a b c (Å): 4.782 4.782 4.782
angles (deg): 60.00 60.00 60.00
Atoms (fractional coordinates):
Rh 0.250 0.250 0.250
Li 0.750 0.750 0.750
Hg 0.500 0.500 0.500
Pu 0.000 0.000 0.000

Summary:
**Total magnetic moment**: 5.6 μB/f.u.
**Energy relative to the elements**: -0.195 eV/atom